1.
NaTb3 PBE-GGA optimized geometry; formation energy = 0.3027 eV per atom; energy above the most stable polymorph in this dataset = 0.004 eV/atom; crystal system = cubic; calculated volume = 31.96 Å³/atom
1.0
0.000 3.998 3.998
3.998 0.000 3.998
3.998 3.998 0.000
Na Tb
1 3
Cartesian
0.000 0.000 0.000
1.999 1.999 1.999
3.998 3.998 3.998
5.997 5.997 5.997

---

2.
Na6Tb PBE-GGA optimized geometry; formation energy = 0.5665 eV per atom; crystal system = cubic; calculated volume = 39.61 Å³/atom
1.0
-4.108 4.108 4.108
4.108 -4.108 4.108
4.108 4.108 -4.108
Na Tb
6 1
Cartesian
4.108 2.054 0.000
4.108 0.000 2.054
2.054 4.108 0.000
2.054 0.000 4.108
0.000 4.108 2.054
0.000 2.054 4.108
0.000 0.000 0.000

---

3.
NaTb5 PBE-GGA optimized geometry; formation energy = 0.1708 eV per atom; crystal system = orthorhombic; calculated volume = 32.26 Å³/atom
1.0
2.512 -7.651 0.000
2.512 7.651 0.000
0.000 0.000 5.035
Na Tb
1 5
Cartesian
0.000 0.000 0.000
2.512 5.001 2.517
2.512 2.614 0.000
2.512 0.000 2.517
2.512 -2.614 0.000
2.512 -5.001 2.517

---

4.
NaTb8Tc2 PBE-GGA optimized geometry; formation energy = 0.0478 eV per atom; crystal system = monoclinic; calculated volume = 29.27 Å³/atom
1.0
7.707 -3.342 0.000
7.707 3.342 0.000
-0.429 0.000 6.250
Na Tb Tc
1 8 2
Cartesian
0.000 0.000 0.000
5.525 1.674 3.810
2.887 0.000 5.467
9.459 1.674 2.440
6.420 0.000 0.974
8.564 0.000 5.277
5.525 -1.674 3.810
12.097 0.000 0.783
9.459 -1.674 2.440
4.006 0.000 2.053
10.978 0.000 4.197

---

5.
NaTb2Tc PBE-GGA optimized geometry; formation energy = 0.2418 eV per atom; crystal system = trigonal; calculated volume = 29.22 Å³/atom
1.0
1.741 1.005 11.133
-1.741 1.005 11.133
0.000 -2.010 11.133
Na Tb Tc
1 2 1
Cartesian
0.000 0.000 0.000
0.000 0.000 3.577
0.000 0.000 29.821
0.000 0.000 16.699

---

6.
NaTb2Tc PBE-GGA optimized geometry; formation energy = 0.0048 eV per atom; crystal system = tetragonal; calculated volume = 27.59 Å³/atom
1.0
3.476 0.000 0.000
0.000 3.476 0.000
0.000 0.000 9.134
Na Tb Tc
1 2 1
Cartesian
0.000 0.000 0.000
1.738 1.738 2.942
1.738 1.738 6.193
0.000 0.000 4.567

---

7.
NaTb5Te8 PBE-GGA optimized geometry; crystal system = cubic; energy relative to the elements, uncorrected = -1305 meV per atom; calculated volume = 38.32 Å³/atom
1.0
0.000 6.449 6.449
6.449 0.000 6.449
6.449 6.449 0.000
Na Tb Te
1 5 8
Cartesian
0.000 0.000 0.000
4.768 4.768 4.768
8.131 8.131 4.768
8.131 4.768 8.131
9.674 9.674 9.674
4.768 8.131 8.131
1.723 1.723 1.723
4.726 4.726 1.723
4.726 1.723 4.726
7.953 4.946 4.946
1.723 4.726 4.726
4.946 7.953 4.946
4.946 4.946 7.953
7.953 7.953 7.953

---

8.
NaTb6Te8 PBE-GGA optimized geometry; energy above the most stable polymorph in this dataset = 0.058 eV/atom; crystal system = trigonal; energy relative to the elements, uncorrected = -1281 meV per atom; calculated volume = 34.99 Å³/atom
1.0
11.623 0.000 0.000
-5.811 10.065 0.000
0.000 0.000 4.487
Na Tb Te
1 6 8
Cartesian
0.000 0.000 0.000
-1.259 4.895 1.121
-0.943 8.708 1.121
3.610 3.538 3.366
2.202 6.528 1.121
6.754 1.357 3.366
7.070 5.171 3.366
-3.554 7.031 1.121
1.499 3.472 1.121
0.000 6.710 3.364
3.757 0.438 3.366
2.055 9.627 1.121
5.811 3.355 1.123
4.312 6.593 3.366
9.365 3.034 3.366

---

9.
NaTb6Te8 PBE-GGA optimized geometry; energy above the most stable polymorph in this dataset = 0.000 eV/atom; crystal system = cubic; energy relative to the elements, uncorrected = -1339 meV per atom; calculated volume = 31.41 Å³/atom
1.0
0.000 6.176 6.176
6.176 0.000 6.176
6.176 6.176 0.000
Na Tb Te
1 6 8
Cartesian
0.000 0.000 0.000
3.088 3.088 0.000
3.088 0.000 3.088
6.176 3.088 3.088
0.000 3.088 3.088
3.088 6.176 3.088
3.088 3.088 6.176
3.088 3.088 3.088
6.176 6.176 3.173
6.176 3.173 6.176
9.179 6.176 6.176
3.173 6.176 6.176
6.176 9.179 6.176
6.176 6.176 9.179
9.264 9.264 9.264

---

10.
NaTbTe PBE-GGA optimized geometry; crystal system = orthorhombic; energy relative to the elements, uncorrected = -640 meV per atom; calculated volume = 32.01 Å³/atom
1.0
11.358 0.000 0.000
0.000 4.315 0.000
0.000 0.000 7.837
Na Tb Te
4 4 4
Cartesian
1.066 1.079 0.905
4.613 3.236 4.824
6.745 1.079 3.013
10.292 3.236 6.932
1.122 1.079 4.918
4.557 3.236 0.999
6.800 1.079 6.838
10.236 3.236 2.919
2.107 3.236 2.971
3.572 1.079 6.890
7.785 3.236 0.947
9.251 1.079 4.866

---

11.
NaTb3Te4 PBE-GGA optimized geometry; energy above the most stable polymorph in this dataset = 0.000 eV/atom; crystal system = orthorhombic; energy relative to the elements, uncorrected = -1322 meV per atom; calculated volume = 30.20 Å³/atom
1.0
4.446 -6.224 0.000
4.446 6.224 0.000
0.000 0.000 4.365
Na Tb Te
1 3 4
Cartesian
0.000 0.000 0.000
2.223 3.112 2.183
2.223 -3.112 2.183
4.446 0.000 0.000
4.446 3.115 0.000
2.243 0.000 2.183
6.648 0.000 2.183
4.446 -3.115 0.000

---

12.
Na3Tb4Te8 PBE-GGA optimized geometry; crystal system = monoclinic; energy relative to the elements, uncorrected = -1193 meV per atom; calculated volume = 32.91 Å³/atom
1.0
6.216 -6.301 0.000
6.216 6.301 0.000
-6.079 0.000 6.303
Na Tb Te
3 4 8
Cartesian
0.000 0.000 0.000
3.108 3.151 0.000
3.108 -3.151 0.000
0.068 3.151 3.151
0.068 -3.151 3.151
6.216 0.000 0.000
3.176 0.000 3.151
0.026 0.000 3.195
3.176 3.109 3.151
6.216 3.099 0.000
3.177 0.000 0.093
3.175 0.000 6.210
6.216 -3.099 0.000
3.176 -3.109 3.151
6.326 0.000 3.108

---

13.
NaTb3Te4 PBE-GGA optimized geometry; energy above the most stable polymorph in this dataset = 0.006 eV/atom; crystal system = tetragonal; energy relative to the elements, uncorrected = -1315 meV per atom; calculated volume = 30.02 Å³/atom
1.0
-3.105 3.105 6.229
3.105 -3.105 6.229
3.105 3.105 -6.229
Na Tb Te
1 3 4
Cartesian
0.000 0.000 0.000
3.105 0.000 3.115
0.000 0.000 6.229
0.000 3.105 3.115
3.105 0.000 0.000
0.000 0.000 3.107
0.000 3.105 0.000
0.000 0.000 9.351

---

14.
Na4TbTh3Te8 PBE-GGA optimized geometry; crystal system = trigonal; energy relative to the elements, uncorrected = -1148 meV per atom; calculated volume = 32.64 Å³/atom
1.0
4.396 2.538 7.801
-4.396 2.538 7.801
0.000 -5.076 7.801
Na Tb Th Te
4 1 3 8
Cartesian
0.000 0.000 0.000
-2.198 -1.269 7.801
-2.198 1.269 15.603
0.000 2.538 7.801
0.000 0.000 11.702
-4.396 0.000 11.702
-2.198 1.269 3.901
2.198 1.269 3.901
0.000 0.000 5.827
-2.166 -1.251 13.583
0.000 -2.501 9.820
-2.166 1.251 9.820
2.166 -1.251 13.583
0.000 2.501 13.583
2.166 1.251 9.820
0.000 0.000 17.577

---

15.
Na4Tb3ThTe8 PBE-GGA optimized geometry; crystal system = trigonal; energy relative to the elements, uncorrected = -1262 meV per atom; calculated volume = 32.38 Å³/atom
1.0
4.430 2.558 7.620
-4.430 2.558 7.620
0.000 -5.116 7.620
Na Tb Th Te
4 3 1 8
Cartesian
0.000 0.000 0.000
-2.215 -1.279 7.620
-2.215 1.279 15.239
0.000 2.558 7.620
-4.430 0.000 11.429
-2.215 1.279 3.810
2.215 1.279 3.810
0.000 0.000 11.429
-2.236 -1.291 13.239
0.000 0.000 5.591
0.000 -2.582 9.620
-2.236 1.291 9.620
2.236 -1.291 13.239
0.000 2.582 13.239
0.000 0.000 17.268
2.236 1.291 9.620

---

16.
Na3TbTh2Te6 PBE-GGA optimized geometry; crystal system = monoclinic; energy relative to the elements, uncorrected = -1165 meV per atom; calculated volume = 32.59 Å³/atom
1.0
3.814 -6.605 0.000
3.814 6.605 0.000
-2.543 0.000 7.762
Na Tb Th Te
3 1 2 6
Cartesian
0.000 0.000 0.000
3.814 2.225 0.000
3.814 -2.225 0.000
2.542 0.000 3.881
2.542 4.408 3.881
2.542 -4.408 3.881
1.289 2.174 2.007
0.035 0.000 5.760
1.289 -2.174 2.007
3.795 2.174 5.755
5.049 0.000 2.003
3.795 -2.174 5.755

---

17.
Na2TbTh2Te6 PBE-GGA optimized geometry; crystal system = monoclinic; energy relative to the elements, uncorrected = -1197 meV per atom; calculated volume = 35.64 Å³/atom
1.0
3.837 -6.648 0.000
3.837 6.648 0.000
-2.575 0.000 7.685
Na Tb Th Te
2 1 2 6
Cartesian
3.837 4.417 0.000
3.837 -4.417 0.000
-1.287 0.000 3.843
2.549 2.221 3.843
2.549 -2.221 3.843
-0.012 2.179 5.680
1.256 0.000 2.014
-0.012 -2.179 5.680
5.110 2.179 2.005
3.842 0.000 5.672
5.110 -2.179 2.005

---

18.
Na2TbThTe4 PBE-GGA optimized geometry; crystal system = monoclinic; energy relative to the elements, uncorrected = -1202 meV per atom; calculated volume = 32.50 Å³/atom
1.0
7.670 0.000 0.000
0.000 4.405 0.000
-2.530 0.000 7.697
Na Tb Th Te
2 1 1 4
Cartesian
0.000 0.000 0.000
3.835 2.202 0.000
-1.265 2.202 3.848
2.570 0.000 3.848
-0.006 0.000 5.673
1.247 2.202 1.985
3.893 2.202 5.711
5.146 0.000 2.024

---

19.
Na3TbTi2Te6 PBE-GGA optimized geometry; crystal system = monoclinic; energy relative to the elements, uncorrected = -937 meV per atom; calculated volume = 28.80 Å³/atom
1.0
3.610 -6.299 0.000
3.610 6.299 0.000
-2.454 0.000 7.600
Na Tb Ti Te
3 1 2 6
Cartesian
0.000 0.000 0.000
3.610 1.953 0.000
3.610 -1.953 0.000
2.383 0.000 3.800
2.383 4.099 3.800
2.383 -4.099 3.800
1.104 2.229 2.109
-0.209 0.000 5.412
1.104 -2.229 2.109
3.662 2.229 5.491
4.974 0.000 2.187
3.662 -2.229 5.491

---

20.
Na2TbTiTe4 PBE-GGA optimized geometry; crystal system = monoclinic; energy relative to the elements, uncorrected = -1014 meV per atom; calculated volume = 29.83 Å³/atom
1.0
7.398 0.000 0.000
0.000 4.245 0.000
-2.450 0.000 7.601
Na Tb Ti Te
2 1 1 4
Cartesian
0.000 0.000 0.000
3.699 2.122 0.000
-1.225 2.122 3.800
2.474 0.000 3.800
0.144 0.000 5.536
1.370 2.122 2.156
3.577 2.122 5.445
4.803 0.000 2.065